A geometry-optimized Ca2TlInN structure, computed with GGA-PBE.

- E: -3.907 eV per atom
- Total magnetic moment: 0.0 μB per cell
- Formation energy without anion corrections: -0.420 eV/atom

Cell: 4.9085 4.9085 4.7441 Å, 90.00 90.00 90.00°
Fractional coordinates of all 5 atoms:
Ca1 0.0000 0.5000 0.0000
Ca2 0.5000 0.0000 0.0000
Tl1 0.0000 0.0000 0.5000
In1 0.5000 0.5000 0.5000
N1 0.5000 0.5000 0.0000

***

A geometry-optimized H2IrS structure, computed with GGA-PBE.

- E: -4.319 eV per atom
- Total magnetic moment: 0.0 μB per cell

Cell: 4.7673 4.7673 4.7673 Å, 107.13 107.13 114.27°
Fractional coordinates of all 8 atoms:
H1 0.0046 0.1250 0.3796
H2 0.3750 0.9954 0.1204
H3 0.7454 0.6250 0.6204
H4 0.8750 0.2546 0.8796
Ir1 0.0000 0.0000 0.0000
Ir2 0.7500 0.2500 0.5000
S1 0.2500 0.7500 0.5000
S2 0.5000 0.5000 0.0000

***

A geometry-optimized K3LiIr structure, computed with GGA-PBE.

- E: -2.078 eV per atom
- DFT formation energy: 0.736 eV/atom
- Total magnetic moment: 0.0 μB per cell

Cell: 6.2213 6.2213 6.2213 Å, 90.00 90.00 90.00°
Fractional coordinates of all 5 atoms:
K1 0.0000 0.0000 0.5000
K2 0.0000 0.5000 0.0000
K3 0.5000 0.0000 0.0000
Li1 0.5000 0.5000 0.5000
Ir1 0.0000 0.0000 0.0000

***

A geometry-optimized ZnPtF structure, computed with GGA-PBE.

- E: -4.266 eV per atom
- Total magnetic moment: 0.0 μB per cell
- Formation energy without anion corrections: -1.204 eV/atom

Cell: 4.6862 2.8492 6.7505 Å, 90.00 99.13 90.00°
Fractional coordinates of all 6 atoms:
Zn1 0.0000 0.0000 0.0000
Zn2 0.4140 0.5000 0.6141
Pt1 0.4679 0.0000 0.3056
Pt2 0.9548 0.5000 0.3102
F1 0.3093 0.0000 0.8100
F2 0.8101 0.5000 0.8025